The following is a PBE-GGA calculation of crystalline Sr2TaCuOs at its relaxed geometry, from the Alexandria database.

Cell: 5.725 5.725 4.641 Å, 90.00 90.00 90.00°
Space group P4/mmm (No. 123)
One atom of each set of equivalent atoms:
Sr: 0.000 0.500 0.000 (multiplicity 2)
Ta: 0.000 0.000 0.500 (multiplicity 1)
Cu: 0.500 0.500 0.500 (multiplicity 1)
Os: 0.500 0.500 0.000 (multiplicity 1)

Computed properties:
The value obtained for the volume is 152.1 Å³/cell. Its energy of formation from the pure elements is 1.6799 eV per atom. As for the size of the total moment: 1.34 μB/cell.